# 1
Below is crystalline IrPd2Cl at its relaxed geometry, with properties calculated at the GGA-PBEsol level.

The structure in POSCAR format:
```
IrPd2Cl
1.0
0.000 3.115 3.115
3.115 0.000 3.115
3.115 3.115 0.000
Ir Pd Cl
1 2 1
Cartesian
0.000 0.000 0.000
1.557 1.557 1.557
4.672 4.672 4.672
3.115 3.115 3.115
```

## Properties
ΔE_f (raw): 0.708 eV per atom
symmetry: Fm-3m, No. 225

***

# 2
Below is crystalline BaCoBi2F at its relaxed geometry, with properties calculated at the GGA-PBEsol level.

The structure in POSCAR format:
```
BaCoBi2F
1.0
4.792 0.000 0.000
0.000 4.792 0.000
0.000 0.000 6.217
Ba Co Bi F
1 1 2 1
Cartesian
0.000 0.000 0.000
2.396 2.396 3.109
0.000 2.396 3.109
2.396 0.000 3.109
2.396 2.396 0.000
```

## Properties
ΔE_f (raw): -0.566 eV per atom
symmetry: P4/mmm, No. 123

***

# 3
Below is crystalline NaGaSn2Pb at its relaxed geometry, with properties calculated at the GGA-PBEsol level.

The structure in POSCAR format:
```
NaGaSn2Pb
1.0
5.746 0.000 0.000
0.000 5.746 0.000
0.000 0.000 5.545
Na Ga Sn Pb
1 1 2 1
Cartesian
0.000 0.000 0.000
2.873 2.873 0.000
0.000 2.873 2.772
2.873 0.000 2.772
0.000 0.000 2.772
```

## Properties
formation enthalpy at 0 K: 61 kJ per mole of atoms
symmetry: P4/mmm, No. 123

***

# 4
Below is crystalline Sc6Te2Pd at its relaxed geometry, with properties calculated at the GGA-PBEsol level.

The structure in POSCAR format:
```
Sc6Te2Pd
1.0
20.081 0.000 0.000
0.000 3.754 0.000
0.000 0.000 10.585
Sc Te Pd
24 8 4
Cartesian
0.149 0.939 1.185
0.523 2.816 4.028
2.179 0.939 8.649
2.782 2.816 0.663
3.154 0.939 5.664
4.654 2.816 7.845
5.386 0.939 2.553
6.886 2.816 0.372
7.258 0.939 5.955
7.862 2.816 3.357
9.517 0.939 9.321
9.891 2.816 6.478
10.189 0.939 4.107
10.563 2.816 1.264
12.219 0.939 7.228
12.822 2.816 4.629
13.194 0.939 10.212
14.694 2.816 8.032
15.426 0.939 2.740
16.927 2.816 4.920
17.299 0.939 9.921
17.902 2.816 1.935
19.557 0.939 6.556
19.932 2.816 9.399
2.529 0.939 2.860
4.748 0.939 10.144
5.292 2.816 4.851
7.511 2.816 8.152
12.569 0.939 2.433
14.788 0.939 5.733
15.333 2.816 0.441
17.552 2.816 7.725
1.515 2.816 6.785
8.525 0.939 1.493
11.556 2.816 9.092
18.565 0.939 3.800
```

## Properties
ΔE_f (raw): -0.786 eV per atom
symmetry: Pnma, No. 62

***

# 5
Below is crystalline TlNi2F at its relaxed geometry, with properties calculated at the GGA-PBEsol level.

The structure in POSCAR format:
```
TlNi2F
1.0
0.000 2.980 2.980
2.980 0.000 2.980
2.980 2.980 0.000
Tl Ni F
1 2 1
Cartesian
0.000 0.000 0.000
1.490 1.490 1.490
4.469 4.469 4.469
2.980 2.980 2.980
```

## Properties
ΔE_f (raw): 0.031 eV per atom
symmetry: Fm-3m, No. 225

***

# 6
Below is crystalline Ca4Cd3Au at its relaxed geometry, with properties calculated at the GGA-PBEsol level.

The structure in POSCAR format:
```
Ca4Cd3Au
1.0
3.725 0.000 0.000
0.000 3.725 0.000
0.000 0.000 14.700
Ca Cd Au
4 3 1
Cartesian
0.000 0.000 1.682
0.000 0.000 5.462
0.000 0.000 9.239
0.000 0.000 13.018
1.862 1.862 3.600
1.862 1.862 7.350
1.862 1.862 11.101
1.862 1.862 0.000
```

## Properties
formation enthalpy at 0 K: -44 kJ per mole of atoms
symmetry: P4/mmm, No. 123

***

# 7
Below is crystalline KCu3 at its relaxed geometry, with properties calculated at the GGA-PBEsol level.

The structure in POSCAR format:
```
KCu3
1.0
-1.964 1.964 4.208
1.964 -1.964 4.208
1.964 1.964 -4.208
K Cu
1 3
Cartesian
0.000 0.000 0.000
1.964 0.000 2.104
0.000 0.000 4.208
0.000 1.964 2.104
```

## Properties
energy relative to the lowest polymorph listed for this composition: 0.176 eV/atom
formation enthalpy at 0 K: 77 kJ per mole of atoms
symmetry: I4/mmm, No. 139

***

# 8
Below is crystalline Si3Hg at its relaxed geometry, with properties calculated at the GGA-PBEsol level.

The structure in POSCAR format:
```
Si3Hg
1.0
1.443 0.833 9.781
-1.443 0.833 9.781
0.000 -1.666 9.781
Si Hg
3 1
Cartesian
0.000 0.000 0.000
0.000 0.000 7.803
0.000 0.000 21.539
0.000 0.000 14.671
```

## Properties
energy relative to the lowest polymorph listed for this composition: 0.029 eV/atom
ΔE_f (raw): 0.434 eV per atom
symmetry: R-3m, No. 166

***

# 9
Below is crystalline BeSiBr at its relaxed geometry, with properties calculated at the GGA-PBEsol level.

The structure in POSCAR format:
```
BeSiBr
1.0
0.000 3.122 3.122
3.122 0.000 3.122
3.122 3.122 0.000
Be Si Br
1 1 1
Cartesian
0.000 0.000 0.000
3.122 3.122 3.122
1.561 1.561 1.561
```

## Properties
ΔE_f (raw): 1.452 eV per atom
symmetry: F-43m, No. 216

***

# 10
Below is crystalline Ca3LaCo at its relaxed geometry, with properties calculated at the GGA-PBEsol level.

The structure in POSCAR format:
```
Ca3LaCo
1.0
5.393 0.000 0.000
0.000 5.393 0.000
0.000 0.000 5.393
Ca La Co
3 1 1
Cartesian
0.000 0.000 2.696
0.000 2.696 0.000
2.696 0.000 0.000
2.696 2.696 2.696
0.000 0.000 0.000
```

## Properties
formation enthalpy at 0 K: 29 kJ per mole of atoms
symmetry: Pm-3m, No. 221

***

# 11
Below is crystalline Cd2InHg at its relaxed geometry, with properties calculated at the GGA-PBEsol level.

The structure in POSCAR format:
```
Cd2InHg
1.0
1.687 -2.680 0.000
1.687 2.680 0.000
0.000 0.000 10.160
Cd In Hg
2 1 1
Cartesian
0.000 0.000 0.000
1.687 0.000 2.445
1.687 0.000 7.537
0.000 0.000 4.923
```

## Properties
energy relative to the lowest polymorph listed for this composition: 0.040 eV/atom
formation enthalpy at 0 K: 4 kJ per mole of atoms
symmetry: Cmm2, No. 35

***

# 12
Below is crystalline SiTe2Rh at its relaxed geometry, with properties calculated at the GGA-PBEsol level.

The structure in POSCAR format:
```
SiTe2Rh
1.0
4.326 0.000 0.000
0.000 2.674 3.516
0.000 -2.674 3.516
Si Te Rh
1 2 1
Cartesian
0.000 0.000 0.000
0.000 0.000 2.787
2.163 0.000 5.279
2.163 0.000 1.161
```

## Properties
ΔE_f (raw): -0.181 eV per atom
symmetry: Amm2, No. 38

***

In the order shown, the computed density of states at the Fermi level values come out to 1.352 0.530 0.764 0.892 0.304 0.621 0.206 0.398 1.170 1.029 0.339 0.402 states/eV/atom.